[1]
{
  "formula": "NiAgMoAs",
  "functional": "PBE-GGA",
  "state": "relaxed",
  "total_magnetization_mub_per_fu": 0.1,
  "lattice_angstrom": [[-1.5519, 0.5983, 4.0483], [-3.4683, -2.2884, 1.3745], [0.4994, -3.1285, 3.0196]],
  "species": ["As", "Mo", "Ag", "Ni"],
  "frac_coords": [[0.0000, 0.0000, 0.0000], [0.2500, 0.2500, 0.2500], [0.5000, 0.5000, 0.5000], [0.7500, 0.7500, 0.7500]]
}



[2]
{
  "formula": "AgAsNO",
  "functional": "PBE-GGA",
  "state": "relaxed",
  "de_polymorph_mev_per_atom": 89,
  "lattice_angstrom": [[6.7890, 0.0000, 0.0000], [0.0000, 6.7242, 0.0000], [0.0000, 0.0000, 5.2253]],
  "species": ["O", "N", "O", "As", "O", "Ag", "Ag", "N", "O", "Ag", "N", "As", "N", "As", "As", "Ag"],
  "frac_coords": [[0.0510, 0.4275, 0.1847], [0.9579, 0.8565, 0.0809], [0.9490, 0.5725, 0.6847], [0.5993, 0.3563, 0.9759], [0.4490, 0.4275, 0.6847], [0.8431, 0.8945, 0.4609], [0.3431, 0.1055, 0.4609], [0.0421, 0.1435, 0.5809], [0.5510, 0.5725, 0.1847], [0.6569, 0.8945, 0.9609], [0.4579, 0.1435, 0.0809], [0.9007, 0.3563, 0.4759], [0.5421, 0.8565, 0.5809], [0.4007, 0.6437, 0.4759], [0.0993, 0.6437, 0.9759], [0.1569, 0.1055, 0.9609]]
}



[3]
{
  "formula": "AgAsNO",
  "functional": "PBE-GGA",
  "state": "relaxed",
  "de_polymorph_mev_per_atom": 0,
  "lattice_angstrom": [[-1.7841, -3.0902, 0.0000], [0.0000, 0.0000, 5.2833], [-5.1821, 2.9919, 0.0000]],
  "species": ["N", "As", "As", "O", "N", "Ag", "Ag", "O"],
  "frac_coords": [[0.0000, 0.8413, 0.3794], [0.0000, 0.9940, 0.6537], [0.0000, 0.4940, 0.3464], [0.5000, 0.4347, 0.2298], [0.0000, 0.3413, 0.6206], [0.5000, 0.9840, 0.1586], [0.5000, 0.4840, 0.8414], [0.5000, 0.9347, 0.7702]]
}



[4]
{
  "formula": "AgAsNO",
  "functional": "PBE-GGA",
  "state": "relaxed",
  "de_polymorph_mev_per_atom": 399,
  "lattice_angstrom": [[-2.6701, 3.8081, 0.2380], [-1.7975, -0.9992, -4.1782], [-3.2293, -2.3867, 1.9601]],
  "species": ["N", "As", "Ag", "As", "O", "Ag", "N", "O"],
  "frac_coords": [[0.7500, 0.7500, 0.5028], [0.7500, 0.2500, 0.5000], [0.2500, 0.2500, 0.9972], [0.2500, 0.7500, 0.5000], [0.7500, 0.2500, 0.0000], [0.7500, 0.7500, 0.0028], [0.2500, 0.2500, 0.4972], [0.2500, 0.7500, 0.0000]]
}



no.,E (eV/atom)
1,-5.66
2,-5.02
3,-5.11
4,-4.71